Run A
Material: Te2Pd8Au
Method: DFT, PBE-GGA
State: relaxed

Summary:
- space-group type = C2/m

Cell: 4.1408 6.4450 7.7788 Å, 108.65 105.44 90.00°
With the nearest neighbours (Å) after each atom.
Fractional coordinates of all 11 atoms:
Pd: 0.5876 0.4581 0.1752  2 Te 2.72, 8 Pd 2.80-3.01, 1 Au 2.81
Pd: 0.8555 0.7949 0.7110  3 Te 2.79-3.03, 7 Pd 2.87-3.06, 2 Au 2.97
Pd: 0.3227 0.0733 0.6454  3 Te 2.67-2.77, 1 Au 2.85, 7 Pd 2.87-2.93
Pd: 0.4124 0.5419 0.8248  2 Te 2.72, 8 Pd 2.80-3.01, 1 Au 2.81
Pd: 0.9624 0.2609 0.9248  1 Te 2.63, 7 Pd 2.80-2.91, 2 Au 2.84
Pd: 0.0376 0.7391 0.0752  1 Te 2.63, 7 Pd 2.80-2.91, 2 Au 2.84
Pd: 0.6773 0.9267 0.3546  3 Te 2.67-2.77, 1 Au 2.85, 7 Pd 2.87-2.93
Pd: 0.1445 0.2051 0.2890  3 Te 2.79-3.03, 7 Pd 2.87-3.06, 2 Au 2.97
Te: 0.1995 0.6637 0.3991  7 Pd 2.63-2.79
Te: 0.8005 0.3363 0.6009  7 Pd 2.63-2.79
Au: 0.5000 0.0000 0.0000  12 Pd 2.81-2.97


Run B
Material: Te2Pd8Au
Method: DFT, PBE-GGA
State: relaxed

Summary:
- space-group type = Cm

Cell: 4.6874 6.2638 7.5659 Å, 113.07 106.24 94.22°
With the nearest neighbours (Å) after each atom.
Fractional coordinates of all 11 atoms:
Pd: 0.7219 0.2246 0.9091  2 Te 2.61, 6 Pd 2.72-2.90, 1 Au 2.85
Pd: 0.9501 0.0190 0.5736  2 Te 2.70-2.74, 1 Au 2.80, 6 Pd 2.89-2.97
Pd: 0.7492 0.0053 0.1592  1 Te 2.68, 6 Pd 2.72-2.97, 2 Au 2.84-2.89
Pd: 0.4986 0.7554 0.6584  1 Te 2.68, 6 Pd 2.72-2.97, 2 Au 2.84-2.90
Pd: 0.2314 0.4811 0.9092  2 Te 2.72, 1 Au 2.77, 6 Pd 2.78-2.90
Pd: 0.3078 0.8633 0.3024  3 Te 2.64-2.79, 5 Pd 2.83-2.95
Pd: 0.9143 0.4692 0.5157  3 Te 2.64-2.78, 6 Pd 2.83-2.96
Pd: 0.2846 0.3548 0.2446  2 Te 2.70-2.74, 1 Au 2.80, 6 Pd 2.89-2.97
Te: 0.4463 0.2999 0.5941  8 Pd 2.61-2.78
Te: 0.7615 0.6147 0.2246  8 Pd 2.61-2.79
Au: 0.1342 0.9127 0.9091  10 Pd 2.77-3.00


How far above the most stable structure does each one sit? In meV/atom: run A 0; run B 30.


Run A
Material: TePdAu
Method: DFT, PBE-GGA
State: relaxed

Summary:
- space-group type = I4mm

Cell: 3.6928 3.6928 5.0900 Å, 111.27 111.27 90.00°
With the nearest neighbours (Å) after each atom.
Fractional coordinates of all 3 atoms:
Au: 0.9956 0.9956 0.9912  1 Te 2.73, 5 Pd 2.84-3.03
Pd: 0.3207 0.3207 0.6413  5 Au 2.84-3.03, 5 Te 2.87-3.17
Te: 0.6837 0.6837 0.3675  1 Au 2.73, 4 Pd 2.87


Run B
Material: TePdAu
Method: DFT, PBE-GGA
State: relaxed

Summary:
- space-group type = P3m1

Cell: 3.0662 4.9036 4.9036 Å, 120.00 90.00 90.00°
With the nearest neighbours (Å) after each atom.
Fractional coordinates of all 3 atoms:
Te: 0.9974 0.0000 0.0000  3 Pd 2.83, 3 Au 2.83, 2 Te 3.07
Pd: 0.0002 0.6667 0.3333  3 Au 2.83, 3 Te 2.83, 2 Pd 3.07
Au: 0.0024 0.3333 0.6667  3 Pd 2.83, 3 Te 2.83, 2 Au 3.07


Run C
Material: TePdAu
Method: DFT, PBE-GGA
State: relaxed

Summary:
- space-group type = F-43m

Cell: 4.5407 4.5407 4.5407 Å, 60.00 60.00 60.00°
With the nearest neighbours (Å) after each atom.
Fractional coordinates of all 3 atoms:
Pd: 0.2500 0.2500 0.2500  4 Te 2.78, 4 Au 2.78
Au: 0.5000 0.5000 0.5000  4 Pd 2.78
Te: 0.0000 0.0000 0.0000  4 Pd 2.78


How far above the most stable structure does each one sit? In meV/atom: run A 38; run B 104; run C 0.


Run A
Material: TePd5Au
Method: DFT, PBE-GGA
State: relaxed

Summary:
- space-group type = C2/c

Cell: 5.4081 5.4081 9.8131 Å, 80.49 80.49 61.86°
With the nearest neighbours (Å) after each atom.
Fractional coordinates of all 14 atoms:
Pd: 0.3788 0.0985 0.3419  1 Te 2.57, 3 Pd 2.73-2.85, 2 Au 2.84-2.85
Pd: 0.1334 0.8666 0.7500  2 Te 2.56, 2 Pd 2.73, 2 Au 2.75-2.81
Pd: 0.9015 0.6212 0.1581  1 Te 2.57, 3 Pd 2.73-2.85, 2 Au 2.84-2.85
Pd: 0.4557 0.2533 0.0489  1 Te 2.59, 4 Pd 2.81-2.88, 1 Au 2.89
Pd: 0.5443 0.7467 0.9511  1 Te 2.59, 4 Pd 2.81-2.88, 1 Au 2.89
Pd: 0.7467 0.5443 0.4511  1 Te 2.59, 4 Pd 2.81-2.88, 1 Au 2.89
Pd: 0.2533 0.4557 0.5489  1 Te 2.59, 4 Pd 2.81-2.88, 1 Au 2.89
Pd: 0.8666 0.1334 0.2500  2 Te 2.56, 2 Pd 2.73, 2 Au 2.75-2.81
Pd: 0.6212 0.9015 0.6581  1 Te 2.57, 3 Pd 2.73-2.85, 2 Au 2.84-2.85
Pd: 0.0985 0.3788 0.8419  1 Te 2.57, 3 Pd 2.73-2.85, 2 Au 2.84-2.85
Au: 0.3720 0.6280 0.2500  10 Pd 2.75-2.99
Au: 0.6280 0.3720 0.7500  10 Pd 2.75-2.99
Te: 0.0000 0.0000 0.0000  6 Pd 2.56-2.59
Te: 0.0000 0.0000 0.5000  6 Pd 2.56-2.59


Run B
Material: TePd5Au
Method: DFT, PBE-GGA
State: relaxed

Summary:
- space-group type = P4/mmm

Cell: 4.0883 4.0883 7.4046 Å, 90.00 90.00 90.00°
With the nearest neighbours (Å) after each atom.
Fractional coordinates of all 7 atoms:
Pd: 0.0000 0.5000 0.2310  2 Te 2.67, 6 Pd 2.85-2.89, 2 Au 2.85
Pd: 0.5000 0.0000 0.2310  2 Te 2.67, 2 Au 2.85, 6 Pd 2.85-2.89
Pd: 0.5000 0.0000 0.7690  2 Te 2.67, 2 Au 2.85, 6 Pd 2.85-2.89
Pd: 0.5000 0.5000 0.5000  8 Pd 2.85, 4 Au 2.89
Pd: 0.0000 0.5000 0.7690  2 Te 2.67, 6 Pd 2.85-2.89, 2 Au 2.85
Au: 0.0000 0.0000 0.5000  12 Pd 2.85-2.89
Te: 0.5000 0.5000 0.0000  8 Pd 2.67


How far above the most stable structure does each one sit? In meV/atom: run A 123; run B 0.


Run A
Material: Te2PdAu
Method: DFT, PBE-GGA
State: relaxed

Summary:
- space-group type = R3m

Cell: 3.8580 3.8580 7.6226 Å, 75.34 75.34 60.00°
With the nearest neighbours (Å) after each atom.
Fractional coordinates of all 4 atoms:
Pd: 0.4991 0.4991 0.5026  6 Te 2.80-2.83
Te: 0.2457 0.2457 0.2629  3 Pd 2.83, 3 Au 2.94
Te: 0.0885 0.0885 0.7344  3 Pd 2.80, 3 Au 2.95
Au: 0.6666 0.6666 0.0002  6 Te 2.94-2.95


Run B
Material: Te2PdAu
Method: DFT, PBE-GGA
State: relaxed

Summary:
- space-group type = Fm-3m

Cell: 4.9807 4.9807 4.9807 Å, 60.00 60.00 60.00°
With the nearest neighbours (Å) after each atom.
Fractional coordinates of all 4 atoms:
Te: 0.7500 0.7500 0.7500  4 Pd 3.05, 4 Au 3.05
Te: 0.2500 0.2500 0.2500  4 Pd 3.05, 4 Au 3.05
Au: 0.5000 0.5000 0.5000  8 Te 3.05
Pd: 0.0000 0.0000 0.0000  8 Te 3.05


Run C
Material: Te2PdAu
Method: DFT, PBE-GGA
State: relaxed

Summary:
- space-group type = R-3m

Cell: 8.3008 8.3008 8.3008 Å, 28.66 28.66 28.66°
With the nearest neighbours (Å) after each atom.
Fractional coordinates of all 4 atoms:
Te: 0.8906 0.8906 0.8906  1 Au 2.61, 3 Pd 2.74
Te: 0.1094 0.1094 0.1094  1 Au 2.61, 3 Pd 2.74
Au: 0.0000 0.0000 0.0000  2 Te 2.61
Pd: 0.5000 0.5000 0.5000  6 Te 2.74


How far above the most stable structure does each one sit? In meV/atom: run A 90; run B 320; run C 0.


Run A
Material: Te2PdAu
Method: DFT, PBE-GGA
State: relaxed

Summary:
- space-group type = P4/mmm

Cell: 3.8147 3.8147 5.9870 Å, 90.00 90.00 90.00°
With the nearest neighbours (Å) after each atom.
Fractional coordinates of all 4 atoms:
Te: 0.0000 0.0000 0.5087  2 Te 2.89-3.10, 4 Pd 3.06, 4 Au 3.11
Te: 0.0000 0.0000 0.9913  2 Te 2.89-3.10, 4 Pd 3.06, 4 Au 3.11
Au: 0.5000 0.5000 0.2500  2 Pd 2.99, 8 Te 3.11
Pd: 0.5000 0.5000 0.7500  2 Au 2.99, 8 Te 3.06


Run B
Material: Te2PdAu
Method: DFT, PBE-GGA
State: relaxed

Summary:
- space-group type = I-42d

Cell: 6.1989 6.1989 7.4960 Å, 65.58 65.58 90.00°
With the nearest neighbours (Å) after each atom.
Fractional coordinates of all 8 atoms:
Te: 0.3750 0.3917 0.7500  2 Pd 2.61, 2 Au 2.73
Te: 0.6083 0.1250 0.2500  2 Pd 2.61, 2 Au 2.73
Te: 0.1417 0.6250 0.2500  2 Pd 2.61, 2 Au 2.73
Te: 0.8750 0.8583 0.7500  2 Pd 2.61, 2 Au 2.73
Au: 0.0000 0.0000 0.0000  4 Te 2.73
Au: 0.7500 0.2500 0.5000  4 Te 2.73
Pd: 0.5000 0.5000 0.0000  4 Te 2.61
Pd: 0.2500 0.7500 0.5000  4 Te 2.61


How far above the most stable structure does each one sit? In meV/atom: run A 211; run B 0.


Run A
Material: TePd3Au
Method: DFT, PBE-GGA
State: relaxed

Summary:
- space-group type = Pm-3m

Cell: 4.9152 4.9152 4.9152 Å, 90.00 90.00 90.00°
With the nearest neighbours (Å) after each atom.
Fractional coordinates of all 5 atoms:
Pd: 0.0000 0.5000 0.0000  2 Te 2.46
Pd: 0.0000 0.0000 0.5000  2 Te 2.46
Pd: 0.5000 0.0000 0.0000  2 Te 2.46
Au: 0.5000 0.5000 0.5000  12 Pd 3.48
Te: 0.0000 0.0000 0.0000  6 Pd 2.46


Run B
Material: TePd3Au
Method: DFT, PBE-GGA
State: relaxed

Summary:
- space-group type = Pmn2_1

Cell: 4.7041 6.9462 5.7942 Å, 90.00 90.00 90.00°
With the nearest neighbours (Å) after each atom.
Fractional coordinates of all 10 atoms:
Pd: 0.4454 0.9399 0.9488  2 Te 2.65-2.66, 5 Pd 2.83-2.93, 3 Au 2.86-2.90
Pd: 0.9325 0.0607 0.7007  1 Te 2.58, 4 Pd 2.83-2.85, 1 Au 2.85
Pd: 0.4453 0.9399 0.4527  2 Te 2.65-2.66, 5 Pd 2.83-2.93, 3 Au 2.86-2.90
Pd: 0.9454 0.4129 0.4489  2 Te 2.65-2.66, 5 Pd 2.83-2.93, 3 Au 2.86-2.90
Pd: 0.4325 0.2921 0.2008  1 Te 2.58, 4 Pd 2.83-2.85, 1 Au 2.85
Pd: 0.9454 0.4129 0.9527  2 Te 2.65-2.66, 5 Pd 2.83-2.93, 3 Au 2.86-2.90
Au: 0.9421 0.0510 0.2007  10 Pd 2.85-2.92
Au: 0.4421 0.3018 0.7008  10 Pd 2.85-2.92
Te: 0.1128 0.7097 0.7008  5 Pd 2.58-2.66
Te: 0.6128 0.6430 0.2008  5 Pd 2.58-2.66


How far above the most stable structure does each one sit? In meV/atom: run A 587; run B 0.